12
Lattice="6.271 0.000 0.000 0.000 3.752 0.000 0.000 0.000 7.127" Properties=species:S:1:pos:R:3 comment="SCAN NbPRh, PBEsol geometry" magmom_total_mub_per_fu=0.00 delta_e_f_ev_per_fu=-2.9 pbc="T T T"
Nb 0.191 0.938 1.204
Nb 2.945 2.814 4.767
Nb 3.326 0.938 2.359
Nb 6.080 2.814 5.923
P 1.481 2.814 2.676
P 1.654 0.938 6.239
P 4.616 2.814 0.887
P 4.790 0.938 4.451
Rh 0.919 0.938 4.002
Rh 2.217 2.814 0.439
Rh 4.054 0.938 6.688
Rh 5.352 2.814 3.125

=====

5
Lattice="5.048 0.000 0.000 0.000 5.048 0.000 0.000 0.000 4.490" Properties=species:S:1:pos:R:3 comment="SCAN Zr2NbPRh, PBEsol geometry" magmom_total_mub_per_fu=0.00 delta_e_f_ev_per_fu=4.8 pbc="T T T"
Zr 0.000 2.524 0.000
Zr 2.524 0.000 0.000
Nb 0.000 0.000 0.000
P 2.524 2.524 2.245
Rh 0.000 0.000 2.245

=====

5
Lattice="4.372 0.000 0.000 0.000 4.372 0.000 0.000 0.000 4.820" Properties=species:S:1:pos:R:3 comment="SCAN NbP2RuW, PBEsol geometry" magmom_total_mub_per_fu=1.71 delta_e_f_ev_per_fu=6.7 pbc="T T T"
Nb 0.000 0.000 0.000
P 0.000 2.186 2.410
P 2.186 0.000 2.410
Ru 0.000 0.000 2.410
W 2.186 2.186 0.000

=====

5
Lattice="4.300 0.000 0.000 0.000 4.300 0.000 0.000 0.000 4.413" Properties=species:S:1:pos:R:3 comment="SCAN NbP2S2, PBEsol geometry" magmom_total_mub_per_fu=1.44 e_form_raw_ev_per_atom=0.801 pbc="T T T"
Nb 0.000 0.000 0.000
P 0.000 2.150 2.207
P 2.150 0.000 2.207
S 2.150 2.150 0.000
S 2.150 2.150 2.207